No. 1
The following is a PBE calculation of an optimized crystal structure of KNaSr2Se, from the Alexandria database.

Cell lengths 6.071, 6.071, 6.512 Å; angles 90.00, 90.00, 90.00 degrees
Fractional positions:
Na 0.500 0.500 0.500
Sr 0.000 0.500 0.000
Sr 0.500 0.000 0.000
Se 0.000 0.000 0.000
K 0.000 0.000 0.500

Properties
* symmetry: P4/mmm (123)
* crystal system: tetragonal



No. 2
The following is a PBE calculation of an optimized crystal structure of KNaTaSe4, from the Alexandria database.

Cell lengths 7.388, 6.322, 9.695 Å; angles 90.00, 107.37, 90.00 degrees
Fractional positions:
Na 0.242 0.250 0.556
Na 0.758 0.750 0.444
Se 0.991 0.021 0.258
Se 0.009 0.521 0.742
Se 0.009 0.979 0.742
Se 0.405 0.750 0.573
Se 0.595 0.250 0.427
Se 0.436 0.750 0.164
Se 0.564 0.250 0.836
Se 0.991 0.479 0.258
Ta 0.762 0.250 0.678
Ta 0.238 0.750 0.322
K 0.722 0.750 0.941
K 0.278 0.250 0.059

Properties
* symmetry: P2_1/m (11)
* crystal system: monoclinic



No. 3
The following is a PBE calculation of an optimized crystal structure of K2NaTaSe4, from the Alexandria database.

Cell lengths 8.592, 8.592, 9.314 Å; angles 122.82, 122.82, 90.31 degrees
Fractional positions:
Se 0.752 0.748 0.553
Se 0.752 0.748 0.947
Se 0.807 0.228 0.017
Se 0.728 0.307 0.517
Se 0.248 0.252 0.053
Se 0.248 0.252 0.447
Se 0.193 0.772 0.983
Se 0.272 0.693 0.483
K 0.000 0.000 0.500
K 0.500 0.000 0.000
K 0.500 0.000 0.500
K 0.500 0.500 0.000
Na 0.000 0.500 0.500
Na 0.000 0.500 0.000
Ta 0.000 0.000 0.000
Ta 0.500 0.500 0.500

Properties
* symmetry: Imma (74)
* crystal system: orthorhombic



No. 4
The following is a PBE calculation of an optimized crystal structure of K3Na3Te2Se, from the Alexandria database.

Cell lengths 4.934, 8.327, 8.327 Å; angles 120.00, 90.00, 90.00 degrees
Fractional positions:
K 0.000 0.000 0.410
K 0.000 0.410 0.000
K 0.000 0.590 0.590
Na 0.500 0.754 0.000
Na 0.500 0.000 0.754
Na 0.500 0.246 0.246
Se 0.000 0.000 0.000
Te 0.500 0.667 0.333
Te 0.500 0.333 0.667

Properties
* symmetry: P-62m (189)
* crystal system: hexagonal



No. 5
The following is a PBE calculation of an optimized crystal structure of KNa2TeSe, from the Alexandria database.

Cell lengths 5.468, 5.468, 6.277 Å; angles 90.00, 90.00, 90.00 degrees
Fractional positions:
Na 0.000 0.500 0.000
Na 0.500 0.000 0.000
Te 0.500 0.500 0.500
K 0.000 0.000 0.500
Se 0.000 0.000 0.000

Properties
* symmetry: P4/mmm (123)
* crystal system: tetragonal



No. 6
The following is a PBE calculation of an optimized crystal structure of KNa3Th2Se6, from the Alexandria database.

Cell lengths 4.351, 8.863, 9.565 Å; angles 101.28, 103.15, 90.00 degrees
Fractional positions:
Se 0.990 0.727 0.981
Se 0.673 0.565 0.346
Se 0.327 0.435 0.654
Se 0.322 0.883 0.644
Se 0.010 0.273 0.019
Se 0.678 0.117 0.356
Na 0.157 0.830 0.314
Na 0.843 0.170 0.686
Na 0.500 0.500 0.000
Th 0.161 0.329 0.323
Th 0.839 0.671 0.677
K 0.500 0.000 0.000

Properties
* symmetry: C2/m (12)
* crystal system: monoclinic



No. 7
The following is a PBE calculation of an optimized crystal structure of K3NaTh3Se8, from the Alexandria database.

Cell lengths 8.689, 8.689, 9.182 Å; angles 118.26, 90.00, 120.00 degrees
Fractional positions:
Se 0.756 0.041 0.297
Se 0.262 0.524 0.286
Se 0.244 0.488 0.703
Se 0.738 0.476 0.714
Se 0.244 0.959 0.703
Se 0.756 0.512 0.297
Se 0.716 0.959 0.703
Se 0.284 0.041 0.297
Th 0.000 0.500 0.500
Th 0.500 0.000 0.500
Th 0.500 0.500 0.500
K 0.500 0.500 0.000
K 0.000 0.000 0.000
K 0.000 0.500 0.000
Na 0.000 0.000 0.500

Properties
* symmetry: R-3m (166)
* crystal system: trigonal



No. 8
The following is a PBE calculation of an optimized crystal structure of K2Na2ThSe4, from the Alexandria database.

Cell lengths 4.494, 11.058, 9.181 Å; angles 133.87, 104.17, 90.00 degrees
Fractional positions:
Se 0.567 0.239 0.133
Se 0.787 0.862 0.574
Se 0.433 0.761 0.867
Se 0.213 0.138 0.426
K 0.181 0.565 0.362
K 0.819 0.435 0.638
Th 0.000 0.000 0.000
Na 0.350 0.080 0.699
Na 0.650 0.920 0.301

Properties
* symmetry: C2/m (12)
* crystal system: monoclinic



Across the entries above, E takes the values -2.50, -4.87, -4.61, -2.89, -2.77, -4.89, -5.23, -4.30 eV per atom, respectively.
Across the entries above, energy relative to the elements, uncorrected takes the values -0.648, -0.843, -0.950, -1.001, -0.702, -1.493, -1.577, -1.392 eV/atom, respectively.